# 1
This record from Alexandria via LeMat-Bulk describes a relaxed DyCoSnRu crystal. The functional is PBE-GGA.

Summary:
Space group: No. 216
Density of states at the Fermi level in states/eV per cell: 1.0
Total magnetic moment in μB/f.u.: 0.0
Raw total energy in eV/atom: -6.558

Lattice parameters (Å, degrees): 4.6068 4.6068 4.6068 60.00 60.00 60.00
Positions (direct):
Dy1 0.5000 0.5000 0.5000
Sn1 0.0000 0.0000 0.0000
Co1 0.2500 0.2500 0.2500
Ru1 0.7500 0.7500 0.7500


# 2
This record from Alexandria via LeMat-Bulk describes a relaxed DyTaCoRu crystal. The functional is PBE-GGA.

Summary:
Space group: No. 216
Density of states at the Fermi level in states/eV per cell: 2.5
Total magnetic moment in μB/f.u.: 0.8
Raw total energy in eV/atom: -8.365

Lattice parameters (Å, degrees): 4.5782 4.5782 4.5782 60.00 60.00 60.00
Each line ends with the local moment (μB).
Positions (direct):
Ru1 0.7500 0.7500 0.7500  0.09
Co1 0.2500 0.2500 0.2500  0.93
Ta1 0.0000 0.0000 0.0000  -0.04
Dy1 0.5000 0.5000 0.5000  -0.08


# 3
This record from Alexandria via LeMat-Bulk describes a relaxed DyThCoRu crystal. The functional is PBE-GGA.

Summary:
Space group: No. 216
Density of states at the Fermi level in states/eV per cell: 1.0
Total magnetic moment in μB/f.u.: 0.5
Raw total energy in eV/atom: -7.383

Lattice parameters (Å, degrees): 4.8816 4.8816 4.8816 60.00 60.00 60.00
Each line ends with the local moment (μB).
Positions (direct):
Dy1 0.0000 0.0000 0.0000  -0.10
Co1 0.2500 0.2500 0.2500  0.71
Ru1 0.7500 0.7500 0.7500  0.14
Th1 0.5000 0.5000 0.5000  -0.10


# 4
This record from Alexandria via LeMat-Bulk describes a relaxed DyTmCoRu crystal. The functional is PBE-GGA.

Summary:
Space group: No. 99
Density of states at the Fermi level in states/eV per cell: 3.7
Total magnetic moment in μB/f.u.: 0.4
Raw total energy in eV/atom: -6.652

Lattice parameters (Å, degrees): 3.3629 3.3629 6.6279 90.00 90.00 90.00
Each line ends with the local moment (μB).
Positions (direct):
Tm1 0.5000 0.5000 0.6086  -0.11
Ru1 0.0000 0.0000 0.3606  -0.01
Dy1 0.5000 0.5000 0.1052  -0.10
Co1 0.0000 0.0000 0.8535  0.61


# 5
This record from Alexandria via LeMat-Bulk describes a relaxed DyTmCoRu crystal. The functional is PBE-GGA.

Summary:
Space group: No. 216
Density of states at the Fermi level in states/eV per cell: 3.6
Total magnetic moment in μB/f.u.: 0.0
Raw total energy in eV/atom: -6.654

Lattice parameters (Å, degrees): 4.7324 4.7324 4.7324 60.00 60.00 60.00
Positions (direct):
Tm1 0.0000 0.0000 0.0000
Dy1 0.5000 0.5000 0.5000
Ru1 0.2500 0.2500 0.2500
Co1 0.7500 0.7500 0.7500


# 6
This record from Alexandria via LeMat-Bulk describes a relaxed Dy3Co5S12 crystal. The functional is PBE-GGA.

Summary:
Space group: No. 230
Formation energy without anion corrections in meV per atom: -851
Density of states at the Fermi level in states/eV per cell: 67.2
Total magnetic moment in μB/f.u.: 7.2
Raw total energy in eV/atom: -5.794

Lattice parameters (Å, degrees): 12.4577 12.4577 12.4577 109.47 109.47 109.47
Each line ends with the local moment (μB).
Positions (direct):
Co1 0.5000 0.5000 0.5000  0.36
Co2 0.1250 0.7500 0.3750  1.52
Co3 0.1250 0.3750 0.2500  1.52
Co4 0.7500 0.6250 0.3750  1.52
Co5 0.8750 0.6250 0.7500  1.52
Co6 0.7500 0.1250 0.8750  1.52
Co7 0.0000 0.0000 0.5000  0.36
Co8 0.3750 0.1250 0.7500  1.52
Co9 0.5000 0.0000 0.5000  0.36
Co10 0.8750 0.2500 0.6250  1.52
Co11 0.2500 0.8750 0.1250  1.52
Co12 0.0000 0.0000 0.0000  0.36
Co13 0.0000 0.5000 0.5000  0.36
Co14 0.5000 0.5000 0.0000  0.36
Co15 0.6250 0.8750 0.2500  1.52
Co16 0.2500 0.3750 0.6250  1.52
Co17 0.3750 0.2500 0.1250  1.52
Co18 0.5000 0.0000 0.0000  0.36
Co19 0.6250 0.7500 0.8750  1.52
Co20 0.0000 0.5000 0.0000  0.36
S1 0.9762 0.5902 0.1768  0.07
S2 0.4762 0.6768 0.0902  0.07
S3 0.0866 0.1768 0.2005  0.07
S4 0.1768 0.0902 0.9762  0.07
S5 0.4098 0.0238 0.3232  0.07
S6 0.8860 0.2995 0.4762  0.07
S7 0.1140 0.4134 0.0902  0.07
S8 0.8232 0.9098 0.0238  0.07
S9 0.6140 0.5902 0.9134  0.07
S10 0.6768 0.2005 0.5866  0.07
S11 0.4134 0.1140 0.5902  0.07
S12 0.5902 0.9762 0.6768  0.07
S13 0.5238 0.3232 0.9098  0.07
S14 0.7005 0.5866 0.1768  0.07
S15 0.0238 0.6140 0.7005  0.07
S16 0.1140 0.7005 0.5238  0.07
S17 0.3860 0.4098 0.0866  0.07
S18 0.6140 0.0238 0.2005  0.07
S19 0.9134 0.8232 0.7995  0.07
S20 0.8232 0.9134 0.2995  0.07
S21 0.7005 0.1140 0.0238  0.07
S22 0.8860 0.5866 0.9098  0.07
S23 0.7995 0.4762 0.3860  0.07
S24 0.5866 0.8860 0.4098  0.07
S25 0.6768 0.4762 0.5902  0.07
S26 0.5866 0.7005 0.6768  0.07
S27 0.2995 0.8860 0.9762  0.07
S28 0.2005 0.5238 0.6140  0.07
S29 0.5238 0.2005 0.1140  0.07
S30 0.9098 0.0866 0.8860  0.07
S31 0.9134 0.0902 0.6140  0.07
S32 0.3860 0.9762 0.7995  0.07
S33 0.1768 0.0866 0.7005  0.07
S34 0.4762 0.7995 0.8860  0.07
S35 0.0902 0.1768 0.4762  0.07
S36 0.9762 0.3860 0.2995  0.07
S37 0.5902 0.6140 0.4134  0.07
S38 0.4134 0.2995 0.3232  0.07
S39 0.3232 0.5238 0.4098  0.07
S40 0.7995 0.3232 0.9134  0.07
S41 0.0866 0.9098 0.3860  0.07
S42 0.0902 0.9134 0.1140  0.07
S43 0.9098 0.8232 0.5238  0.07
S44 0.2995 0.4134 0.8232  0.07
S45 0.4098 0.3860 0.5866  0.07
S46 0.0238 0.4098 0.8232  0.07
S47 0.2005 0.6768 0.0866  0.07
S48 0.3232 0.7995 0.4134  0.07
Dy1 0.8750 0.1250 0.2500  0.09
Dy2 0.6250 0.3750 0.7500  0.09
Dy3 0.7500 0.8750 0.6250  0.09
Dy4 0.3750 0.6250 0.2500  0.09
Dy5 0.3750 0.7500 0.6250  0.09
Dy6 0.2500 0.1250 0.3750  0.09
Dy7 0.6250 0.2500 0.3750  0.09
Dy8 0.2500 0.6250 0.8750  0.09
Dy9 0.7500 0.3750 0.1250  0.09
Dy10 0.1250 0.8750 0.7500  0.09
Dy11 0.8750 0.7500 0.1250  0.09
Dy12 0.1250 0.2500 0.8750  0.09


# 7
This record from Alexandria via LeMat-Bulk describes a relaxed Dy8Co2S crystal. The functional is PBE-GGA.

Summary:
Space group: No. 12
Formation energy without anion corrections in meV per atom: -422
Density of states at the Fermi level in states/eV per cell: 12.1
Total magnetic moment in μB/f.u.: 0.0
Raw total energy in eV/atom: -5.436

Lattice parameters (Å, degrees): 3.7329 8.6459 9.0996 97.10 101.84 90.00
Positions (direct):
Dy1 0.3981 0.4352 0.7962
Dy2 0.0117 0.2223 0.0233
Dy3 0.6019 0.5648 0.2038
Dy4 0.6592 0.9758 0.3184
Dy5 0.3408 0.0242 0.6816
Dy6 0.9883 0.7777 0.9767
Dy7 0.2140 0.3266 0.4280
Dy8 0.7860 0.6734 0.5720
S1 0.5000 0.0000 0.0000
Co1 0.1855 0.7585 0.3710
Co2 0.8145 0.2415 0.6290


# 8
This record from Alexandria via LeMat-Bulk describes a relaxed DyCoS crystal. The functional is PBE-GGA.

Summary:
Space group: No. 166
Formation energy without anion corrections in meV per atom: -886
Density of states at the Fermi level in states/eV per cell: 2.9
Total magnetic moment in μB/f.u.: 1.1
Raw total energy in eV/atom: -6.165

Lattice parameters (Å, degrees): 3.9532 3.9532 10.7255 79.38 79.38 60.00
Each line ends with the local moment (μB).
Positions (direct):
Dy1 0.5683 0.5683 0.2952  -0.12
Dy2 0.4317 0.4317 0.7048  -0.12
S1 0.7243 0.7243 0.8271  0.00
S2 0.2757 0.2757 0.1729  0.00
Co1 0.8313 0.8313 0.5060  1.28
Co2 0.1687 0.1687 0.4940  1.28


# 9
This record from Alexandria via LeMat-Bulk describes a relaxed Dy4CoSe2S crystal. The functional is PBE-GGA.

Summary:
Space group: No. 10
Formation energy without anion corrections in meV per atom: -1398
Density of states at the Fermi level in states/eV per cell: 6.2
Total magnetic moment in μB/f.u.: 0.0
Raw total energy in eV/atom: -5.974

Lattice parameters (Å, degrees): 3.9052 7.0129 7.0803 108.31 90.00 90.00
Positions (direct):
Co1 0.5000 0.5000 0.0000
Dy1 0.0000 0.2729 0.7804
Dy2 0.5000 0.7457 0.7723
Dy3 0.0000 0.7271 0.2196
Dy4 0.5000 0.2543 0.2277
Se1 0.5000 0.0000 0.5000
Se2 0.0000 0.5000 0.5000
S1 0.0000 0.0000 0.0000


# 10
This record from Alexandria via LeMat-Bulk describes a relaxed Dy4CoSeS2 crystal. The functional is PBE-GGA.

Summary:
Space group: No. 10
Formation energy without anion corrections in meV per atom: -1421
Density of states at the Fermi level in states/eV per cell: 6.3
Total magnetic moment in μB/f.u.: 0.0
Raw total energy in eV/atom: -6.077

Lattice parameters (Å, degrees): 3.8709 6.9798 6.9309 108.09 90.00 90.00
Positions (direct):
Dy1 0.5000 0.7291 0.7527
Dy2 0.0000 0.7314 0.2394
Dy3 0.0000 0.2686 0.7606
Dy4 0.5000 0.2709 0.2473
Se1 0.0000 0.0000 0.0000
S1 0.5000 0.0000 0.5000
S2 0.0000 0.5000 0.5000
Co1 0.5000 0.5000 0.0000


# 11
This record from Alexandria via LeMat-Bulk describes a relaxed DyTlCoS3 crystal. The functional is PBE-GGA.

Summary:
Space group: No. 11
Formation energy without anion corrections in meV per atom: -1009
Density of states at the Fermi level in states/eV per cell: 5.2
Total magnetic moment in μB/f.u.: 3.0
Raw total energy in eV/atom: -5.419

Lattice parameters (Å, degrees): 3.9075 7.4645 10.4540 90.00 90.00 105.18
Each line ends with the local moment (μB).
Positions (direct):
S1 0.6208 0.2414 0.0735  0.13
S2 0.0590 0.1178 0.7500  0.17
S3 0.9410 0.8822 0.2500  0.17
S4 0.3792 0.7586 0.9265  0.13
S5 0.6208 0.2414 0.4265  0.13
S6 0.3792 0.7586 0.5735  0.13
Tl1 0.2501 0.5010 0.2500  0.01
Tl2 0.7499 0.4990 0.7500  0.01
Co1 0.4694 0.9390 0.7500  2.14
Co2 0.5306 0.0610 0.2500  2.14
Dy1 0.0000 0.0000 0.5000  0.03
Dy2 0.0000 0.0000 0.0000  0.03


# 12
This record from Alexandria via LeMat-Bulk describes a relaxed Dy3CoSb2 crystal. The functional is PBE-GGA.

Summary:
Space group: No. 62
Formation energy without anion corrections in meV per atom: -817
Density of states at the Fermi level in states/eV per cell: 13.5
Total magnetic moment in μB/f.u.: 0.0
Raw total energy in eV/atom: -5.676

Lattice parameters (Å, degrees): 4.3125 11.7547 11.7968 90.00 90.00 90.00
Positions (direct):
Co1 0.2500 0.3583 0.6281
Co2 0.2500 0.1417 0.1281
Co3 0.7500 0.6417 0.3719
Co4 0.7500 0.8583 0.8719
Dy1 0.2500 0.1272 0.5572
Dy2 0.7500 0.2954 0.7705
Dy3 0.2500 0.3728 0.0572
Dy4 0.7500 0.6272 0.9428
Dy5 0.7500 0.2046 0.2705
Dy6 0.2500 0.0523 0.8840
Dy7 0.2500 0.7954 0.7295
Dy8 0.7500 0.8728 0.4428
Dy9 0.2500 0.4477 0.3840
Dy10 0.7500 0.5523 0.6160
Dy11 0.7500 0.9477 0.1160
Dy12 0.2500 0.7046 0.2295
Sb1 0.2500 0.4941 0.8062
Sb2 0.7500 0.9941 0.6938
Sb3 0.7500 0.1905 0.0116
Sb4 0.2500 0.8095 0.9884
Sb5 0.7500 0.5059 0.1938
Sb6 0.7500 0.3095 0.5116
Sb7 0.2500 0.6905 0.4884
Sb8 0.2500 0.0059 0.3062


# 13
This record from Alexandria via LeMat-Bulk describes a relaxed Dy8CoSb2 crystal. The functional is PBE-GGA.

Summary:
Space group: No. 12
Formation energy without anion corrections in meV per atom: -411
Density of states at the Fermi level in states/eV per cell: 11.6
Total magnetic moment in μB/f.u.: 0.0
Raw total energy in eV/atom: -5.154

Lattice parameters (Å, degrees): 4.5431 7.3043 9.6397 96.91 103.63 90.00
Positions (direct):
Co1 0.5000 0.0000 0.0000
Sb1 0.8180 0.2269 0.6360
Sb2 0.1820 0.7731 0.3640
Dy1 0.0017 0.7811 0.0034
Dy2 0.3630 0.9650 0.7260
Dy3 0.4053 0.4825 0.8106
Dy4 0.7849 0.6540 0.5698
Dy5 0.5947 0.5175 0.1894
Dy6 0.9983 0.2189 0.9966
Dy7 0.6370 0.0350 0.2740
Dy8 0.2151 0.3460 0.4302


# 14
This record from Alexandria via LeMat-Bulk describes a relaxed Dy4CoSb crystal. The functional is PBE-GGA.

Summary:
ΔE to the lowest computed polymorph in kJ/mol of formula units: 0
Space group: No. 11
Formation energy without anion corrections in meV per atom: -466
Density of states at the Fermi level in states/eV per cell: 10.8
Total magnetic moment in μB/f.u.: 0.0
Raw total energy in eV/atom: -5.406

Lattice parameters (Å, degrees): 6.0707 6.6084 9.7543 90.00 124.91 90.00
Positions (direct):
Dy1 0.1027 0.5000 0.7053
Dy2 0.1027 0.0000 0.7053
Dy3 0.8973 0.5000 0.2947
Dy4 0.7200 0.2500 0.8727
Dy5 0.4917 0.7500 0.5861
Dy6 0.2800 0.7500 0.1273
Dy7 0.5083 0.2500 0.4139
Dy8 0.8973 0.0000 0.2947
Co1 0.2596 0.2500 0.5620
Co2 0.7404 0.7500 0.4380
Sb1 0.3504 0.2500 0.0463
Sb2 0.6496 0.7500 0.9537


# 15
This record from Alexandria via LeMat-Bulk describes a relaxed Dy6CoSb3 crystal. The functional is PBE-GGA.

Summary:
Space group: No. 36
Formation energy without anion corrections in meV per atom: -509
Density of states at the Fermi level in states/eV per cell: 19.9
Total magnetic moment in μB/f.u.: 0.0
Raw total energy in eV/atom: -5.217

Lattice parameters (Å, degrees): 7.3682 9.1114 9.1114 103.39 90.00 90.00
Positions (direct):
Dy1 0.6677 0.5994 0.0964
Dy2 0.7036 0.2431 0.7569
Dy3 0.6737 0.2955 0.3692
Dy4 0.6737 0.6308 0.7045
Dy5 0.2036 0.7569 0.2431
Dy6 0.2509 0.0037 0.9963
Dy7 0.1737 0.3692 0.2955
Dy8 0.6677 0.9036 0.4006
Dy9 0.7509 0.9963 0.0037
Dy10 0.1677 0.0964 0.5994
Dy11 0.1677 0.4006 0.9036
Dy12 0.1737 0.7045 0.6308
Sb1 0.8721 0.6051 0.3949
Sb2 0.9901 0.7075 0.9301
Sb3 0.9901 0.0699 0.2925
Sb4 0.4901 0.2925 0.0699
Sb5 0.3721 0.3949 0.6051
Sb6 0.4901 0.9301 0.7075
Co1 0.4959 0.8613 0.1387
Co2 0.9959 0.1387 0.8613


# 16
This record from Alexandria via LeMat-Bulk describes a relaxed Dy8Co2Sb crystal. The functional is PBE-GGA.

Summary:
Space group: No. 12
Formation energy without anion corrections in meV per atom: -213
Density of states at the Fermi level in states/eV per cell: 13.0
Total magnetic moment in μB/f.u.: 0.0
Raw total energy in eV/atom: -5.226

Lattice parameters (Å, degrees): 5.4348 7.7702 7.7702 113.78 97.27 97.27
Positions (direct):
Co1 0.0000 0.6958 0.3042
Co2 0.0000 0.3042 0.6958
Dy1 0.7028 0.3926 0.3926
Dy2 0.9202 0.9276 0.6661
Dy3 0.2972 0.6074 0.6074
Dy4 0.5000 0.7517 0.2483
Dy5 0.0798 0.0724 0.3339
Dy6 0.9202 0.6661 0.9276
Dy7 0.0798 0.3339 0.0724
Dy8 0.5000 0.2483 0.7517
Sb1 0.5000 0.0000 0.0000


# 17
This record from Alexandria via LeMat-Bulk describes a relaxed Dy4CoSb2 crystal. The functional is PBE-GGA.

Summary:
Space group: No. 12
Formation energy without anion corrections in meV per atom: -649
Density of states at the Fermi level in states/eV per cell: 4.6
Total magnetic moment in μB/f.u.: 0.0
Raw total energy in eV/atom: -5.471

Lattice parameters (Å, degrees): 4.3180 8.5788 7.8607 136.50 105.94 90.00
Positions (direct):
Dy1 0.3399 0.7325 0.6798
Dy2 0.0661 0.7872 0.1323
Dy3 0.6601 0.2675 0.3202
Dy4 0.9339 0.2128 0.8677
Sb1 0.6578 0.6518 0.3156
Sb2 0.3422 0.3482 0.6844
Co1 0.0000 0.0000 0.0000


# 18
This record from Alexandria via LeMat-Bulk describes a relaxed DyCoSb crystal. The functional is PBE-GGA.

Summary:
Space group: No. 187
Formation energy without anion corrections in meV per atom: -559
Density of states at the Fermi level in states/eV per cell: 4.3
Total magnetic moment in μB/f.u.: 0.4
Raw total energy in eV/atom: -5.835

Lattice parameters (Å, degrees): 3.9286 4.3192 4.3192 120.00 90.00 90.00
Each line ends with the local moment (μB).
Positions (direct):
Dy1 0.6667 0.6667 0.3333  -0.01
Co1 0.1667 0.0000 0.0000  0.42
Sb1 0.1666 0.3333 0.6667  0.01


# 19
This record from Alexandria via LeMat-Bulk describes a relaxed Dy5CoSb2 crystal. The functional is PBE-GGA.

Summary:
ΔE to the lowest computed polymorph in kJ/mol of formula units: 266
Space group: No. 63
Formation energy without anion corrections in meV per atom: -365
Density of states at the Fermi level in states/eV per cell: 10.7
Total magnetic moment in μB/f.u.: 0.0
Raw total energy in eV/atom: -5.160

Lattice parameters (Å, degrees): 5.7734 5.5102 15.7340 90.00 90.00 121.59
Positions (direct):
Sb1 0.7250 0.4500 0.0583
Sb2 0.2750 0.5500 0.5583
Sb3 0.7250 0.4500 0.4417
Sb4 0.2750 0.5500 0.9417
Dy1 0.0683 0.1365 0.3981
Dy2 0.4006 0.8013 0.1356
Dy3 0.7446 0.4892 0.2500
Dy4 0.5994 0.1987 0.8644
Dy5 0.0683 0.1365 0.1019
Dy6 0.9317 0.8635 0.8981
Dy7 0.9317 0.8635 0.6019
Dy8 0.2554 0.5108 0.7500
Dy9 0.4006 0.8013 0.3644
Dy10 0.5994 0.1987 0.6356
Co1 0.8241 0.6482 0.7500
Co2 0.1759 0.3518 0.2500